# 1
## MgTl2Sb (PBE)

Data for a relaxed MgTl2Sb crystal.

formation energy (no corrections)	-16	kJ/mol of formula units
total magnetic moment	0.00	μB/cell
VASP energy	-2.655	eV per atom

Cell: 4.6087 4.6087 5.2894 Å, 90.00 90.00 90.00°
Fractional positions:
Mg1 0.0000 0.0000 0.0000
Tl1 0.0000 0.5000 0.5000
Tl2 0.5000 0.0000 0.5000
Sb1 0.5000 0.5000 0.0000



# 2
## InGeCl3 (PBE)

Data for a relaxed InGeCl3 crystal.

formation energy (no corrections)	-382	kJ/mol of formula units
total magnetic moment	0.00	μB/cell
VASP energy	-3.371	eV per atom

Cell: 6.1907 6.1907 6.1907 Å, 88.58 88.58 88.58°
Fractional positions:
In1 0.0000 0.0000 0.0000
Ge1 0.6608 0.6608 0.6608
Cl1 0.5128 0.9108 0.9108
Cl2 0.9108 0.5128 0.9108
Cl3 0.9108 0.9108 0.5128



# 3
## PmPrSmHg (PBE)

Data for a relaxed PmPrSmHg crystal.

ΔH_f (0 K)	-23	kJ per mole of atoms
total magnetic moment	0.00	μB/cell
VASP energy	-3.871	eV per atom

Cell: 3.7321 3.7321 9.0069 Å, 90.00 90.00 90.00°
Fractional positions:
Pm1 0.0000 0.0000 0.0000
Pr1 0.5000 0.5000 0.7170
Sm1 0.0000 0.0000 0.4357
Hg1 0.5000 0.5000 0.2204



# 4
## Li2GaB (PBE)

Data for a relaxed Li2GaB crystal.

ΔH_f (0 K)	33	kJ per mole of atoms
total magnetic moment	0.00	μB/cell
VASP energy	-3.040	eV per atom

Cell: 4.0247 4.0247 4.0247 Å, 60.00 60.00 60.00°
Fractional positions:
Li1 0.2500 0.2500 0.2500
Li2 0.7500 0.7500 0.7500
Ga1 0.0000 0.0000 0.0000
B1 0.5000 0.5000 0.5000



Question: Among the records above, which one has the highest VASP energy?
Answer: MgTl2Sb



Repeat the third record exactly.
## PmPrSmHg (PBE)

Data for a relaxed PmPrSmHg crystal.

ΔH_f (0 K)	-23	kJ per mole of atoms
total magnetic moment	0.00	μB/cell
VASP energy	-3.871	eV per atom

Cell: 3.7321 3.7321 9.0069 Å, 90.00 90.00 90.00°
Fractional positions:
Pm1 0.0000 0.0000 0.0000
Pr1 0.5000 0.5000 0.7170
Sm1 0.0000 0.0000 0.4357
Hg1 0.5000 0.5000 0.2204